DFT (PBE) results for a geometry-optimized ScNbOs3 structure.

## Properties
E above lowest polymorph = 0.0 kJ/mol of atoms
M_tot = 0.000 μB/atom
E_form = 144 kJ per mole of atoms
crystal system = cubic

Unit cell a=4.7343 b=4.7343 c=4.7343 alpha=90.00 beta=90.00 gamma=90.00
With the nearest neighbours (Å) after each atom.
Space group Pm-3m (No. 221)
Inequivalent atoms, fractional coordinates:
Sc 0.0000 0.0000 0.0000  12 Os 3.35
Nb 0.5000 0.5000 0.5000  6 Os 2.37
Os 0.0000 0.5000 0.5000  2 Nb 2.37